No. 1
Material: Rb2TaN
Method: DFT, PBE-GGA
State: relaxed

a = 12.8771 Å, b = 12.8771 Å, c = 9.3252 Å
α = 46.33°, β = 46.33°, γ = 90.00°
Site moments in Bohr magnetons follow the coordinates.
Positions (direct):
N  0.2500  0.7500  0.5000  -0.07
N  0.5000  0.5000  0.0000  -0.07
Rb  0.8750  0.6749  0.7500  0.02
Rb  0.3251  0.6250  0.2500  0.02
Rb  0.4249  0.1250  0.2500  0.02
Rb  0.3750  0.5751  0.7500  0.02
Ta  0.0000  0.0000  0.0000  1.11
Ta  0.7500  0.2500  0.5000  1.11

Output
**Uncorrected formation energy**: 0.431 eV/atom

=====

No. 2
Material: NbBiRhO6
Method: DFT, PBE-GGA
State: relaxed

a = 4.8998 Å, b = 4.8998 Å, c = 9.8259 Å
α = 90.00°, β = 90.00°, γ = 90.00°
Site moments in Bohr magnetons follow the coordinates.
Positions (direct):
O  0.7098  0.7098  0.6887  0.05
O  0.7902  0.2098  0.1887  0.05
O  0.8286  0.1714  0.4988  0.02
O  0.2050  0.7950  0.8161  0.05
O  0.3286  0.3286  0.9988  0.02
O  0.7050  0.7050  0.3161  0.05
O  0.2098  0.7902  0.1887  0.05
O  0.1714  0.8286  0.4988  0.02
O  0.7950  0.2050  0.8161  0.05
O  0.6714  0.6714  0.9988  0.02
O  0.2950  0.2950  0.3161  0.05
O  0.2902  0.2902  0.6887  0.05
Nb  0.0000  0.0000  0.3282  0.00
Nb  0.5000  0.5000  0.8282  0.00
Rh  0.0000  0.0000  0.6679  0.29
Rh  0.5000  0.5000  0.1679  0.29
Bi  0.0000  0.0000  0.9966  0.01
Bi  0.5000  0.5000  0.4966  0.01

Output
**Uncorrected formation energy**: -1.488 eV/atom

=====

No. 3
Material: CaIF2
Method: DFT, PBE-GGA
State: relaxed

a = 6.7725 Å, b = 6.7725 Å, c = 6.9831 Å
α = 60.99°, β = 60.99°, γ = 90.00°
Site moments in Bohr magnetons follow the coordinates.
Positions (direct):
F  0.3750  0.5762  0.7500  0.01
F  0.8750  0.6738  0.7500  0.02
F  0.4238  0.1250  0.2500  0.01
F  0.3262  0.6250  0.2500  0.01
Ca  0.5000  0.5000  0.0000  0.00
Ca  0.2500  0.7500  0.5000  0.00
I  0.7500  0.2500  0.5000  0.62
I  0.0000  0.0000  0.0000  0.62

Output
**Uncorrected formation energy**: -2.537 eV/atom
**Distance to the lowest polymorph of the same formula**: 85 kJ/mol of formula units

=====

No. 4
Material: Nd2ErBi3
Method: DFT, PBE-GGA
State: relaxed

a = 7.8920 Å, b = 7.8920 Å, c = 14.4142 Å
α = 100.50°, β = 100.50°, γ = 109.53°
Positions (direct):
Nd  0.5013  0.0013  0.0027
Nd  0.9987  0.4987  0.9973
Nd  0.6678  0.1678  0.3355
Nd  0.4178  0.4178  0.8355
Nd  0.8322  0.3322  0.6645
Nd  0.2513  0.2513  0.5027
Nd  0.5822  0.5822  0.1645
Nd  0.7487  0.7487  0.4973
Bi  0.3268  0.8342  0.1695
Bi  0.7588  0.7588  0.0000
Bi  0.6647  0.1572  0.8305
Bi  0.0842  0.0768  0.6695
Bi  0.0088  0.5088  0.5000
Bi  0.1658  0.6732  0.8305
Bi  0.8428  0.3353  0.1695
Bi  0.9232  0.9158  0.3305
Bi  0.5853  0.5928  0.6695
Bi  0.2412  0.2412  0.0000
Bi  0.4072  0.4147  0.3305
Bi  0.4912  0.9912  0.5000
Er  0.0836  0.0836  0.1672
Er  0.3336  0.8336  0.6672
Er  0.1664  0.6664  0.3328
Er  0.9164  0.9164  0.8328

Output
**Distance to the lowest polymorph of the same formula**: 0 kJ/mol of formula units
**Energy relative to the elements**: -900 meV per atom

=====

No. 5
Material: Fe2RePd
Method: DFT, PBE-GGA
State: relaxed

a = 6.5927 Å, b = 6.5927 Å, c = 5.3530 Å
α = 51.99°, β = 51.99°, γ = 90.00°
Site moments in Bohr magnetons follow the coordinates.
Positions (direct):
Pd  0.5000  0.5000  0.0000  -0.02
Pd  0.2500  0.7500  0.5000  -0.02
Re  0.0000  0.0000  0.0000  -0.43
Re  0.7500  0.2500  0.5000  -0.43
Fe  0.6529  0.1250  0.2500  0.87
Fe  0.3750  0.3471  0.7500  0.87
Fe  0.0971  0.6250  0.2500  0.87
Fe  0.8750  0.9029  0.7500  0.87

Output
**Energy relative to the elements**: 700 meV per atom

=====

No. 6
Material: Re3Ag
Method: DFT, PBE-GGA
State: relaxed

a = 4.9052 Å, b = 4.9052 Å, c = 4.9052 Å
α = 90.00°, β = 90.00°, γ = 90.00°
Site moments in Bohr magnetons follow the coordinates.
Positions (direct):
Re  0.0000  0.5000  0.0000  1.84
Re  0.0000  0.0000  0.5000  1.84
Re  0.5000  0.0000  0.0000  1.84
Ag  0.0000  0.0000  0.0000  0.23

Output
**Distance to the lowest polymorph of the same formula**: 1598 kJ/mol of formula units
**Energy relative to the elements**: 4418 meV per atom

=====

No. 7
Material: BiTe2I
Method: DFT, PBE-GGA
State: relaxed

a = 9.6396 Å, b = 9.6396 Å, c = 9.6396 Å
α = 28.13°, β = 28.13°, γ = 28.13°
Positions (direct):
Bi  0.5000  0.5000  0.5000
Te  0.8935  0.8935  0.8935
Te  0.1065  0.1065  0.1065
I  0.0000  0.0000  0.0000

Output
**Uncorrected formation energy**: -0.100 eV/atom
**Distance to the lowest polymorph of the same formula**: 23 kJ/mol of formula units

=====

No. 8
Material: MnOsCl2
Method: DFT, PBE-GGA
State: relaxed

a = 7.0532 Å, b = 7.0532 Å, c = 7.0532 Å
α = 152.39°, β = 145.51°, γ = 44.74°
Site moments in Bohr magnetons follow the coordinates.
Positions (direct):
Os  0.2500  0.7500  0.5000  0.23
Mn  0.7500  0.2500  0.5000  3.99
Cl  0.3834  0.3834  0.0000  0.04
Cl  0.1166  0.1166  0.0000  0.04

Output
**Uncorrected formation energy**: 0.245 eV/atom
**Distance to the lowest polymorph of the same formula**: 106 kJ/mol of formula units